Record 1
# ScGeN2F (GGA-PBE, relaxed)
data_ScGeN2F
_cell_length_a 4.216
_cell_length_b 4.216
_cell_length_c 3.996
_cell_angle_alpha 90.00
_cell_angle_beta 90.00
_cell_angle_gamma 90.00
_symmetry_space_group_name_H-M 'P 1'
_symmetry_Int_Tables_number 1
loop_
_symmetry_equiv_pos_as_xyz
'x,y,z'
loop_
_atom_site_label
_atom_site_type_symbol
_atom_site_fract_x
_atom_site_fract_y
_atom_site_fract_z
Sc1 Sc 0.000 0.000 0.000
Ge1 Ge 0.500 0.500 0.500
N1 N 0.000 0.500 0.000
N2 N 0.500 0.000 0.000
F1 F 0.000 0.000 0.500
# Formation energy (no corrections): -0.31 eV/atom
# Calculated density: 3.85 g/cm³

Record 2
# Hg2Sb2Au3 (GGA-PBE, relaxed)
data_Hg2Sb2Au3
_cell_length_a 8.010
_cell_length_b 8.010
_cell_length_c 4.903
_cell_angle_alpha 93.54
_cell_angle_beta 93.54
_cell_angle_gamma 34.81
_symmetry_space_group_name_H-M 'P 1'
_symmetry_Int_Tables_number 1
loop_
_symmetry_equiv_pos_as_xyz
'x,y,z'
loop_
_atom_site_label
_atom_site_type_symbol
_atom_site_fract_x
_atom_site_fract_y
_atom_site_fract_z
Hg1 Hg 0.068 0.068 0.291
Hg2 Hg 0.932 0.932 0.709
Sb1 Sb 0.329 0.329 0.135
Sb2 Sb 0.671 0.671 0.865
Au1 Au 0.224 0.224 0.644
Au2 Au 0.500 0.500 0.000
Au3 Au 0.776 0.776 0.356
# Formation energy (no corrections): 0.00 eV/atom
# Calculated density: 11.45 g/cm³

Record 3
# TmTaAl (GGA-PBE, relaxed)
data_TmTaAl
_cell_length_a 7.126
_cell_length_b 7.126
_cell_length_c 4.438
_cell_angle_alpha 90.00
_cell_angle_beta 90.00
_cell_angle_gamma 120.00
_symmetry_space_group_name_H-M 'P 1'
_symmetry_Int_Tables_number 1
loop_
_symmetry_equiv_pos_as_xyz
'x,y,z'
loop_
_atom_site_label
_atom_site_type_symbol
_atom_site_fract_x
_atom_site_fract_y
_atom_site_fract_z
Tm1 Tm 0.000 0.419 0.000
Tm2 Tm 0.419 0.000 0.000
Tm3 Tm 0.581 0.581 0.000
Ta1 Ta 0.000 0.778 0.500
Ta2 Ta 0.222 0.222 0.500
Ta3 Ta 0.778 0.000 0.500
Al1 Al 0.000 0.000 0.000
Al2 Al 0.333 0.667 0.500
Al3 Al 0.667 0.333 0.500
# Calculated density: 9.62 g/cm³
# Energy of formation from the pure elements: -97 meV per atom

Record 4
# BaGaBiS4 (GGA-PBE, relaxed)
data_BaGaBiS4
_cell_length_a 6.807
_cell_length_b 6.873
_cell_length_c 8.515
_cell_angle_alpha 90.00
_cell_angle_beta 107.99
_cell_angle_gamma 90.00
_symmetry_space_group_name_H-M 'P 1'
_symmetry_Int_Tables_number 1
loop_
_symmetry_equiv_pos_as_xyz
'x,y,z'
loop_
_atom_site_label
_atom_site_type_symbol
_atom_site_fract_x
_atom_site_fract_y
_atom_site_fract_z
Ba1 Ba 0.236 0.250 0.442
Ba2 Ba 0.764 0.750 0.558
Ga1 Ga 0.265 0.750 0.182
Ga2 Ga 0.735 0.250 0.818
Bi1 Bi 0.274 0.250 0.969
Bi2 Bi 0.726 0.750 0.031
S1 S 0.051 0.750 0.916
S2 S 0.067 0.750 0.352
S3 S 0.489 0.006 0.227
S4 S 0.489 0.494 0.227
S5 S 0.511 0.506 0.773
S6 S 0.511 0.994 0.773
S7 S 0.933 0.250 0.648
S8 S 0.949 0.250 0.084
# Formation energy (no corrections): -0.98 eV/atom
# Calculated density: 4.77 g/cm³

Record 5
# Cu2ReP2 (GGA-PBE, relaxed)
data_Cu2ReP2
_cell_length_a 6.019
_cell_length_b 6.019
_cell_length_c 3.990
_cell_angle_alpha 90.00
_cell_angle_beta 90.00
_cell_angle_gamma 90.00
_symmetry_space_group_name_H-M 'P 1'
_symmetry_Int_Tables_number 1
loop_
_symmetry_equiv_pos_as_xyz
'x,y,z'
loop_
_atom_site_label
_atom_site_type_symbol
_atom_site_fract_x
_atom_site_fract_y
_atom_site_fract_z
Cu1 Cu 0.243 0.257 0.000
Cu2 Cu 0.257 0.757 0.000
Cu3 Cu 0.743 0.243 0.000
Cu4 Cu 0.757 0.743 0.000
Re1 Re 0.000 0.000 0.500
Re2 Re 0.500 0.500 0.500
P1 P 0.130 0.630 0.500
P2 P 0.370 0.130 0.500
P3 P 0.630 0.870 0.500
P4 P 0.870 0.370 0.500
# Calculated density: 8.62 g/cm³
# Energy of formation from the pure elements: 25 meV per atom

Record 6
# LiSc3H3 (GGA-PBE, relaxed)
data_LiSc3H3
_cell_length_a 5.817
_cell_length_b 5.817
_cell_length_c 5.817
_cell_angle_alpha 90.00
_cell_angle_beta 90.00
_cell_angle_gamma 90.00
_symmetry_space_group_name_H-M 'P 1'
_symmetry_Int_Tables_number 1
loop_
_symmetry_equiv_pos_as_xyz
'x,y,z'
loop_
_atom_site_label
_atom_site_type_symbol
_atom_site_fract_x
_atom_site_fract_y
_atom_site_fract_z
Li1 Li 0.000 0.000 0.000
Li2 Li 0.500 0.500 0.500
Sc1 Sc 0.000 0.250 0.500
Sc2 Sc 0.000 0.750 0.500
Sc3 Sc 0.250 0.500 0.000
Sc4 Sc 0.500 0.000 0.250
Sc5 Sc 0.500 0.000 0.750
Sc6 Sc 0.750 0.500 0.000
H1 H 0.000 0.500 0.250
H2 H 0.000 0.500 0.750
H3 H 0.250 0.000 0.500
H4 H 0.500 0.250 0.000
H5 H 0.500 0.750 0.000
H6 H 0.750 0.000 0.500
# Calculated density: 2.44 g/cm³
# Raw total energy: -4.676 eV/atom

Record 7
# Ti2Be2VRu5 (GGA-PBE, relaxed)
data_Ti2Be2VRu5
_cell_length_a 9.228
_cell_length_b 9.228
_cell_length_c 3.080
_cell_angle_alpha 90.00
_cell_angle_beta 90.00
_cell_angle_gamma 90.00
_symmetry_space_group_name_H-M 'P 1'
_symmetry_Int_Tables_number 1
loop_
_symmetry_equiv_pos_as_xyz
'x,y,z'
loop_
_atom_site_label
_atom_site_type_symbol
_atom_site_fract_x
_atom_site_fract_y
_atom_site_fract_z
Ti1 Ti 0.172 0.328 0.000
Ti2 Ti 0.328 0.828 0.000
Ti3 Ti 0.672 0.172 0.000
Ti4 Ti 0.828 0.672 0.000
Be1 Be 0.125 0.625 0.000
Be2 Be 0.375 0.125 0.000
Be3 Be 0.625 0.875 0.000
Be4 Be 0.875 0.375 0.000
V1 V 0.000 0.000 0.000
V2 V 0.500 0.500 0.000
Ru1 Ru 0.000 0.500 0.500
Ru2 Ru 0.074 0.796 0.500
Ru3 Ru 0.204 0.074 0.500
Ru4 Ru 0.296 0.574 0.500
Ru5 Ru 0.426 0.296 0.500
Ru6 Ru 0.500 0.000 0.500
Ru7 Ru 0.574 0.704 0.500
Ru8 Ru 0.704 0.426 0.500
Ru9 Ru 0.796 0.926 0.500
Ru10 Ru 0.926 0.204 0.500
# Calculated density: 8.48 g/cm³
# Energy of formation from the pure elements: -426 meV per atom

Record 8
# Pm5Y3Tm3 (GGA-PBE, relaxed)
data_Pm5Y3Tm3
_cell_length_a 11.230
_cell_length_b 11.230
_cell_length_c 3.459
_cell_angle_alpha 90.00
_cell_angle_beta 90.00
_cell_angle_gamma 120.00
_symmetry_space_group_name_H-M 'P 1'
_symmetry_Int_Tables_number 1
loop_
_symmetry_equiv_pos_as_xyz
'x,y,z'
loop_
_atom_site_label
_atom_site_type_symbol
_atom_site_fract_x
_atom_site_fract_y
_atom_site_fract_z
Pm1 Pm 0.000 0.337 0.000
Pm2 Pm 0.333 0.667 0.000
Pm3 Pm 0.337 0.000 0.000
Pm4 Pm 0.663 0.663 0.000
Pm5 Pm 0.667 0.333 0.000
Y1 Y 0.000 0.596 0.500
Y2 Y 0.404 0.404 0.500
Y3 Y 0.596 0.000 0.500
Tm1 Tm 0.000 0.841 0.000
Tm2 Tm 0.159 0.159 0.000
Tm3 Tm 0.841 0.000 0.000
# Calculated density: 6.59 g/cm³
# Energy of formation from the pure elements: 324 meV per atom